Computed, not measured: a relaxed structure of Na2AgH4 at the PBE level of DFT.

## Properties
Its total moment is 0.0 Bohr magnetons per cell. For the distance to the lowest polymorph of the same formula, the calculation gives 0.0 meV per atom.

Lattice parameters (Å, degrees): 4.8988 8.3297 5.1501 90.00 90.00 90.00
Space group Pmmn (No. 59, origin choice 2)
Inequivalent atoms, fractional coordinates:
Na (0.2500, 0.0212, 0.2443) x4
Ag (0.2500, 0.2500, 0.7368) x2
H (0.1679, 0.7500, 0.5218) x4
H (0.2500, 0.0453, 0.7496) x4

=====

Computed, not measured: a relaxed structure of AgPBrO2 at the PBE level of DFT.

## Properties
Its total moment is 0.0 Bohr magnetons per cell. For the distance to the lowest polymorph of the same formula, the calculation gives 0.0 meV per atom. The calculation puts the formation energy without anion corrections at 0.7250 eV per atom.

Lattice parameters (Å, degrees): 3.8011 3.8011 5.4396 90.00 90.00 90.00
Space group P4/mmm (No. 123)
Inequivalent atoms, fractional coordinates:
Ag (0.0000, 0.0000, 0.0000) x1
P (0.5000, 0.5000, 0.0000) x1
Br (0.5000, 0.5000, 0.5000) x1
O (0.0000, 0.5000, 0.5000) x2

=====

Computed, not measured: a relaxed structure of PmSnF at the PBE level of DFT.

## Properties
Its total moment is 0.0 Bohr magnetons per cell. For the distance to the lowest polymorph of the same formula, the calculation gives 0.0 meV per atom. The calculation puts the formation energy without anion corrections at -1.9105 eV per atom.

Lattice parameters (Å, degrees): 4.6226 16.5444 4.3059 90.00 90.00 90.00
Space group Cmcm (No. 63)
Inequivalent atoms, fractional coordinates:
Pm (0.0000, 0.1046, 0.2500) x4
Sn (0.0000, 0.2621, 0.7500) x4
F (0.0000, 0.0448, 0.7500) x4

=====

Computed, not measured: a relaxed structure of Ce2AsN2 at the PBE level of DFT.

## Properties
Its total moment is 0.0 Bohr magnetons per cell. For the distance to the lowest polymorph of the same formula, the calculation gives 0.0 meV per atom. The calculation puts the formation energy without anion corrections at -1.2624 eV per atom.

Lattice parameters (Å, degrees): 13.4648 3.8959 3.8959 90.00 106.50 90.00
Space group C2/m (No. 12)
Inequivalent atoms, fractional coordinates:
Ce (0.1607, 0.0000, 0.1626) x4
As (0.0000, 0.5000, 0.5000) x2
N (0.2500, 0.0000, 0.7500) x4

=====

Computed, not measured: a relaxed structure of KAc2Ce3Se6 at the PBE level of DFT.

## Properties
Its total moment is 6.9 Bohr magnetons per cell. The calculation puts the formation energy without anion corrections at -1.7695 eV per atom.

Lattice parameters (Å, degrees): 19.1387 4.3080 8.8413 90.00 104.59 90.00
Space group C2/m (No. 12)
Inequivalent atoms, fractional coordinates:
K (0.0000, 0.0000, 0.0000) x2
Ac (0.1680, 0.5000, 0.3355) x4
Ce (0.0000, 0.0000, 0.5000) x2
Ce (0.1654, 0.5000, 0.8292) x4
Se (0.0023, 0.5000, 0.7344) x4
Se (0.1620, 0.0000, 0.5908) x4
Se (0.1713, 0.0000, 0.0740) x4

=====

Computed, not measured: a relaxed structure of Re2PtBr at the PBE level of DFT.

## Properties
Its total moment is 0.0 Bohr magnetons per cell. For the distance to the lowest polymorph of the same formula, the calculation gives 714.1 meV per atom. The calculation puts the formation energy without anion corrections at 1.0957 eV per atom.

Lattice parameters (Å, degrees): 4.6592 4.6592 2.9180 90.00 90.00 90.00
Space group P4/mmm (No. 123)
Inequivalent atoms, fractional coordinates:
Re (0.0000, 0.5000, 0.0000) x2
Pt (0.0000, 0.0000, 0.5000) x1
Br (0.5000, 0.5000, 0.5000) x1